BeCrAs2 | PBE | optimized geometry

**Calculated total energy**: -21.85 eV per cell
**Symmetry**: P2/m, No. 10

Lattice parameters (Å, degrees): 3.0860 3.0865 6.1139 71.98 90.00 90.00
With the nearest neighbours (Å) after each atom.
Positions (direct):
Cr 0.5000 0.7500 0.7500  8 As 2.58-2.59
Be 0.5000 0.2500 0.2500  4 As 2.37
As 0.0000 0.1003 0.9887  2 Be 2.37, 4 Cr 2.58-2.59
As 0.0000 0.3997 0.5113  2 Be 2.37, 4 Cr 2.58-2.59



Be2CrAs | PBE | optimized geometry

**Calculated total energy**: -19.72 eV per cell
**Symmetry**: R-3m, No. 166

Lattice parameters (Å, degrees): 7.7493 7.7493 7.7493 20.25 20.25 20.25
With the nearest neighbours (Å) after each atom.
Positions (direct):
Cr 0.2500 0.2500 0.2500  6 Be 2.42
As 0.7500 0.7500 0.7500  6 Be 2.51, 6 As 2.72
Be 0.9973 0.9973 0.9973  3 Cr 2.42, 3 As 2.51
Be 0.5027 0.5027 0.5027  3 Cr 2.42, 3 As 2.51



Be2CrAs | PBE | optimized geometry

**Calculated total energy**: -20.09 eV per cell
**Symmetry**: P4/mmm, No. 123

Lattice parameters (Å, degrees): 2.5275 2.5275 7.6722 90.00 90.00 90.00
With the nearest neighbours (Å) after each atom.
Positions (direct):
Be 0.0000 0.0000 0.4659  4 Cr 2.44, 4 Be 2.53
Be 0.0000 0.0000 0.0341  4 Cr 2.44, 4 Be 2.53
Cr 0.5000 0.5000 0.2500  8 Be 2.44, 4 Cr 2.53
As 0.5000 0.5000 0.7500  4 As 2.53, 8 Be 2.82